Record 1
The following is a DFT calculation (GGA-PBE) of a geometry-optimized Ac2Ga2Pd3 structure.

energy above the lowest structure with this stoichiometry = 0.067 eV per atom
final energy = -5.008 eV/atom
magnetization = 0.00 μB/f.u.

Cell lengths 11.4959, 4.0510, 7.4405 Å; angles 90.00, 113.73, 90.00 degrees
Space group C2/m (No. 12)
Symmetry-distinct sites (fractional):
Ac (0.1276, 0.0000, 0.2571) [4 per cell]
Ga (0.1479, 0.0000, 0.7124) [4 per cell]
Pd (0.0000, 0.5000, 0.5000) [2 per cell]
Pd (0.1438, 0.5000, 0.9260) [4 per cell]

Record 2
The following is a DFT calculation (GGA-PBE) of a geometry-optimized Th6PbC3S2 structure.

E_form (uncorrected) = -822.7 meV/atom
final energy = -7.836 eV/atom
magnetization = 0.00 μB/f.u.

Cell lengths 18.0200, 3.8575, 8.3865 Å; angles 90.00, 108.53, 90.00 degrees
Space group C2/m (No. 12)
Symmetry-distinct sites (fractional):
Th (0.0105, 0.0000, 0.2105) [4 per cell]
Th (0.1595, 0.5000, 0.1015) [4 per cell]
Th (0.1804, 0.5000, 0.5580) [4 per cell]
Pb (0.0000, 0.5000, 0.5000) [2 per cell]
C (0.0000, 0.5000, 0.0000) [2 per cell]
C (0.1673, 0.0000, 0.3201) [4 per cell]
S (0.1690, 0.0000, 0.8330) [4 per cell]

Record 3
The following is a DFT calculation (GGA-PBE) of a geometry-optimized Pu2ZrO7 structure.

E_form (uncorrected) = -2836.8 meV/atom
final energy = -10.029 eV/atom
magnetization = 6.00 μB/f.u.

Cell lengths 3.7670, 3.7670, 30.4833 Å; angles 90.00, 90.00, 120.00 degrees
Space group R-3m (No. 166, hexagonal axes)
Symmetry-distinct sites (fractional):
Pu (0.0000, 0.0000, 0.0678) [6 per cell]
Zr (0.0000, 0.0000, 0.5000) [3 per cell]
O (0.0000, 0.0000, 0.0000) [3 per cell]
O (0.0000, 0.0000, 0.1443) [6 per cell]
O (0.0000, 0.0000, 0.2801) [6 per cell]
O (0.0000, 0.0000, 0.4288) [6 per cell]

Record 4
The following is a DFT calculation (GGA-PBE) of a geometry-optimized Rb2Cu3F10 structure.

E_form (uncorrected) = -1857.0 meV/atom
final energy = -4.053 eV/atom
magnetization = 2.07 μB/f.u.

Cell lengths 18.6626, 6.0143, 8.5349 Å; angles 90.00, 111.26, 90.00 degrees
Space group C2/m (No. 12)
Symmetry-distinct sites (fractional):
Rb (0.1163, 0.0000, 0.2315) [4 per cell]
Rb (0.2094, 0.0000, 0.8065) [4 per cell]
Cu (0.0000, 0.2535, 0.5000) [4 per cell]
Cu (0.0766, 0.5000, 0.9816) [4 per cell]
Cu (0.1802, 0.5000, 0.5066) [4 per cell]
F (0.0000, 0.2986, 0.0000) [4 per cell]
F (0.0222, 0.0000, 0.6588) [4 per cell]
F (0.0230, 0.5000, 0.6670) [4 per cell]
F (0.1058, 0.2597, 0.5133) [8 per cell]
F (0.1391, 0.5000, 0.2744) [4 per cell]
F (0.1421, 0.2790, 0.9801) [8 per cell]
F (0.2249, 0.5000, 0.7350) [4 per cell]
F (0.2500, 0.2500, 0.5000) [4 per cell]

Record 5
The following is a DFT calculation (GGA-PBE) of a geometry-optimized AcMg2Zn2Au structure.

final energy = -2.291 eV/atom
magnetization = 0.00 μB/f.u.

Cell lengths 5.1024, 5.1024, 11.6709 Å; angles 90.00, 90.00, 90.00 degrees
Space group I4/mmm (No. 139)
Symmetry-distinct sites (fractional):
Ac (0.0000, 0.0000, 0.0000) [2 per cell]
Mg (0.0000, 0.5000, 0.2500) [4 per cell]
Zn (0.0000, 0.0000, 0.2855) [4 per cell]
Au (0.0000, 0.0000, 0.5000) [2 per cell]

Record 6
The following is a DFT calculation (GGA-PBE) of a geometry-optimized FeHg structure.

final energy = -3.993 eV/atom
magnetization = 2.71 μB/f.u.

Cell lengths 3.0157, 3.0157, 13.8191 Å; angles 90.00, 90.00, 120.00 degrees
Space group P-6m2 (No. 187)
Symmetry-distinct sites (fractional):
Fe (0.0000, 0.0000, 0.0000) [1 per cell]
Fe (0.3333, 0.6667, 0.1236) [2 per cell]
Hg (0.0000, 0.0000, 0.2885) [2 per cell]
Hg (0.3333, 0.6667, 0.5000) [1 per cell]

Record 7
The following is a DFT calculation (GGA-PBE) of a geometry-optimized Li4CdBr structure.

E_form (uncorrected) = -150.8 meV/atom
final energy = -1.858 eV/atom
magnetization = 0.85 μB/f.u.

Cell lengths 8.1596, 8.1596, 8.1596 Å; angles 90.00, 90.00, 90.00 degrees
Space group F-43m (No. 216)
Symmetry-distinct sites (fractional):
Li (0.1234, 0.1234, 0.3766) [16 per cell]
Cd (0.2500, 0.2500, 0.7500) [4 per cell]
Br (0.0000, 0.0000, 0.0000) [4 per cell]

Record 8
The following is a DFT calculation (GGA-PBE) of a geometry-optimized SrBiPb2 structure.

final energy = -3.642 eV/atom
magnetization = 0.00 μB/f.u.

Cell lengths 4.9659, 4.9659, 5.2583 Å; angles 90.00, 90.00, 90.00 degrees
Space group P4/mmm (No. 123)
Symmetry-distinct sites (fractional):
Sr (0.0000, 0.0000, 0.0000) [1 per cell]
Bi (0.5000, 0.5000, 0.0000) [1 per cell]
Pb (0.0000, 0.5000, 0.5000) [2 per cell]

Record 9
The following is a DFT calculation (GGA-PBE) of a geometry-optimized EuPuAu4 structure.

final energy = -6.687 eV/atom
magnetization = 0.99 μB/f.u.

Cell lengths 8.1046, 8.1046, 8.1046 Å; angles 90.00, 90.00, 90.00 degrees
Space group F-43m (No. 216)
Symmetry-distinct sites (fractional):
Eu (0.0000, 0.0000, 0.0000) [4 per cell]
Pu (0.2500, 0.2500, 0.2500) [4 per cell]
Au (0.1250, 0.1250, 0.6250) [16 per cell]

Record 10
The following is a DFT calculation (GGA-PBE) of a geometry-optimized KIr2Rh structure.

energy above the lowest structure with this stoichiometry = 0.061 eV per atom
final energy = -6.028 eV/atom
magnetization = 0.00 μB/f.u.

Cell lengths 2.7386, 3.7450, 7.7814 Å; angles 90.00, 90.00, 90.00 degrees
Space group Pmm2 (No. 25)
Symmetry-distinct sites (fractional):
K (0.0000, 0.0000, 0.0000) [1 per cell]
Ir (0.0000, 0.0000, 0.5123) [1 per cell]
Ir (0.5000, 0.5000, 0.6660) [1 per cell]
Rh (0.5000, 0.5000, 0.3248) [1 per cell]

Record 11
The following is a DFT calculation (GGA-PBE) of a geometry-optimized SrMgSb2 structure.

E_form (uncorrected) = -402.0 meV/atom
final energy = -3.282 eV/atom
magnetization = 0.00 μB/f.u.

Cell lengths 4.1194, 4.1194, 25.5666 Å; angles 90.00, 90.00, 120.00 degrees
Space group R-3m (No. 166, hexagonal axes)
Symmetry-distinct sites (fractional):
Sr (0.0000, 0.0000, 0.0000) [3 per cell]
Mg (0.0000, 0.0000, 0.5000) [3 per cell]
Sb (0.0000, 0.0000, 0.2390) [6 per cell]

Record 12
The following is a DFT calculation (GGA-PBE) of a geometry-optimized Pm6BiTe4 structure.

E_form (uncorrected) = -1174.6 meV/atom
final energy = -5.261 eV/atom
magnetization = 0.38 μB/f.u.

Cell lengths 4.3810, 14.4151, 22.4731 Å; angles 90.00, 90.00, 90.00 degrees
Space group Cmcm (No. 63)
Symmetry-distinct sites (fractional):
Pm (0.0000, 0.0000, 0.0000) [4 per cell]
Pm (0.0000, 0.1633, 0.2500) [4 per cell]
Pm (0.0000, 0.2677, 0.6035) [8 per cell]
Pm (0.0000, 0.4402, 0.1665) [8 per cell]
Bi (0.0000, 0.1742, 0.7500) [4 per cell]
Te (0.0000, 0.0813, 0.1260) [8 per cell]
Te (0.0000, 0.3530, 0.0360) [8 per cell]

Record 13
The following is a DFT calculation (GGA-PBE) of a geometry-optimized KMgP2 structure.

final energy = -3.190 eV/atom
magnetization = 0.00 μB/f.u.

Cell lengths 4.4614, 4.4614, 4.1512 Å; angles 90.00, 90.00, 90.00 degrees
Space group P4/mmm (No. 123)
Symmetry-distinct sites (fractional):
K (0.0000, 0.0000, 0.0000) [1 per cell]
Mg (0.5000, 0.5000, 0.0000) [1 per cell]
P (0.0000, 0.5000, 0.5000) [2 per cell]

Record 14
The following is a DFT calculation (GGA-PBE) of a geometry-optimized NdSmScAu structure.

final energy = -4.945 eV/atom
magnetization = 0.00 μB/f.u.

Cell lengths 7.5198, 7.5198, 7.5198 Å; angles 90.00, 90.00, 90.00 degrees
Space group F-43m (No. 216)
Symmetry-distinct sites (fractional):
Nd (0.0000, 0.0000, 0.0000) [4 per cell]
Sm (0.0000, 0.0000, 0.5000) [4 per cell]
Sc (0.2500, 0.2500, 0.7500) [4 per cell]
Au (0.2500, 0.2500, 0.2500) [4 per cell]

Record 15
The following is a DFT calculation (GGA-PBE) of a geometry-optimized Co2SnP structure.

final energy = -5.703 eV/atom
magnetization = 2.01 μB/f.u.

Cell lengths 6.0266, 6.0266, 6.0266 Å; angles 90.00, 90.00, 90.00 degrees
Space group Fm-3m (No. 225)
Symmetry-distinct sites (fractional):
Co (0.2500, 0.2500, 0.2500) [8 per cell]
Sn (0.0000, 0.0000, 0.0000) [4 per cell]
P (0.0000, 0.0000, 0.5000) [4 per cell]

Record 16
The following is a DFT calculation (GGA-PBE) of a geometry-optimized ErZrIr structure.

energy above the lowest structure with this stoichiometry = 0.213 eV per atom
final energy = -7.827 eV/atom
magnetization = 0.99 μB/f.u.

Cell lengths 3.4164, 3.4164, 11.1107 Å; angles 90.00, 90.00, 90.00 degrees
Space group I4mm (No. 107)
Symmetry-distinct sites (fractional):
Er (0.0000, 0.0000, 0.0000) [2 per cell]
Zr (0.0000, 0.0000, 0.7110) [2 per cell]
Ir (0.0000, 0.0000, 0.3395) [2 per cell]

Record 17
The following is a DFT calculation (GGA-PBE) of a geometry-optimized AcTmCd4 structure.

energy above the lowest structure with this stoichiometry = 0.022 eV per atom
final energy = -2.321 eV/atom
magnetization = 0.00 μB/f.u.

Cell lengths 3.5893, 8.8679, 5.0575 Å; angles 90.00, 90.14, 90.00 degrees
Space group P2/m (No. 10)
Symmetry-distinct sites (fractional):
Ac (0.0000, 0.0000, 0.0000) [1 per cell]
Tm (0.0000, 0.5000, 0.5000) [1 per cell]
Cd (0.5000, 0.1818, 0.5000) [2 per cell]
Cd (0.5000, 0.3432, 0.0000) [2 per cell]

Record 18
The following is a DFT calculation (GGA-PBE) of a geometry-optimized LiZnCu2Pd structure.

final energy = -3.383 eV/atom
magnetization = 0.00 μB/f.u.

Cell lengths 4.7100, 12.8962, 4.7197 Å; angles 90.00, 90.00, 90.00 degrees
Space group Cmcm (No. 63)
Symmetry-distinct sites (fractional):
Li (0.0000, 0.1502, 0.2500) [4 per cell]
Zn (0.0000, 0.3476, 0.2500) [4 per cell]
Cu (0.2503, 0.0000, 0.0000) [8 per cell]
Pd (0.0000, 0.2520, 0.7500) [4 per cell]

Record 19
The following is a DFT calculation (GGA-PBE) of a geometry-optimized RbErAuSe2 structure.

E_form (uncorrected) = -1088.0 meV/atom
final energy = -4.243 eV/atom
magnetization = 0.00 μB/f.u.

Cell lengths 7.9972, 4.9426, 7.9301 Å; angles 90.00, 97.22, 90.00 degrees
Space group P2/c (No. 13)
Symmetry-distinct sites (fractional):
Rb (0.0000, 0.1125, 0.2500) [2 per cell]
Er (0.5000, 0.4951, 0.7500) [2 per cell]
Au (0.5000, 0.0000, 0.0000) [2 per cell]
Se (0.2611, 0.3754, 0.9710) [4 per cell]

Record 20
The following is a DFT calculation (GGA-PBE) of a geometry-optimized Sr15Pd5O24 structure.

E_form (uncorrected) = -2075.8 meV/atom
final energy = -5.944 eV/atom
magnetization = 2.00 μB/f.u.

Cell lengths 9.7720, 9.8015, 13.8211 Å; angles 90.00, 90.23, 90.00 degrees
Space group C2 (No. 5)
Symmetry-distinct sites (fractional):
Sr (0.0000, 0.0000, 0.0000) [2 per cell]
Sr (0.0000, 0.0109, 0.5000) [2 per cell]
Sr (0.0000, 0.3687, 0.0000) [2 per cell]
Sr (0.0019, 0.8701, 0.2495) [4 per cell]
Sr (0.0028, 0.2403, 0.2564) [4 per cell]
Sr (0.1804, 0.5491, 0.3202) [4 per cell]
Sr (0.1836, 0.6849, 0.5634) [4 per cell]
Sr (0.1850, 0.5551, 0.8155) [4 per cell]
Sr (0.1862, 0.6843, 0.0666) [4 per cell]
Pd (0.0000, 0.3716, 0.5000) [2 per cell]
Pd (0.2492, 0.3696, 0.6236) [4 per cell]
Pd (0.2501, 0.3694, 0.1259) [4 per cell]
O (0.0678, 0.4717, 0.6442) [4 per cell]
O (0.0695, 0.4760, 0.1568) [4 per cell]
O (0.0709, 0.7625, 0.9044) [4 per cell]
O (0.0710, 0.7642, 0.4034) [4 per cell]
O (0.1324, 0.2034, 0.5845) [4 per cell]
O (0.1355, 0.1969, 0.0899) [4 per cell]
O (0.1358, 0.0416, 0.8378) [4 per cell]
O (0.1380, 0.0413, 0.3392) [4 per cell]
O (0.2369, 0.4324, 0.4819) [4 per cell]
O (0.2397, 0.8031, 0.7315) [4 per cell]
O (0.2418, 0.4356, 0.9821) [4 per cell]
O (0.2457, 0.8056, 0.2329) [4 per cell]

Record 21
The following is a DFT calculation (GGA-PBE) of a geometry-optimized NaHgP2Os structure.

final energy = -4.490 eV/atom
magnetization = 0.00 μB/f.u.

Cell lengths 4.6087, 4.6087, 5.3850 Å; angles 90.00, 90.00, 90.00 degrees
Space group P4/mmm (No. 123)
Symmetry-distinct sites (fractional):
Na (0.0000, 0.0000, 0.0000) [1 per cell]
Hg (0.5000, 0.5000, 0.0000) [1 per cell]
P (0.0000, 0.5000, 0.5000) [2 per cell]
Os (0.5000, 0.5000, 0.5000) [1 per cell]

Record 22
The following is a DFT calculation (GGA-PBE) of a geometry-optimized Tb2Sm7Dy3 structure.

energy above the lowest structure with this stoichiometry = 0.039 eV per atom
final energy = -4.564 eV/atom
magnetization = 0.00 μB/f.u.

Cell lengths 5.7657, 38.1055, 3.6229 Å; angles 90.00, 90.00, 90.00 degrees
Space group Cmmm (No. 65)
Symmetry-distinct sites (fractional):
Tb (0.0000, 0.1484, 0.0000) [4 per cell]
Sm (0.0000, 0.0000, 0.0000) [2 per cell]
Sm (0.0000, 0.0724, 0.5000) [4 per cell]
Sm (0.0000, 0.2316, 0.0000) [4 per cell]
Sm (0.0000, 0.4078, 0.0000) [4 per cell]
Dy (0.0000, 0.3152, 0.5000) [4 per cell]
Dy (0.0000, 0.5000, 0.5000) [2 per cell]